This record from Alexandria describes crystalline Mg3MnF at its relaxed geometry. The functional is PBE+U.

a = 4.3007 Å, b = 4.3007 Å, c = 4.3007 Å
α = 90.00°, β = 90.00°, γ = 90.00°
With the nearest neighbours (Å) after each atom.
Fractional positions:
Mg 0.0000 0.0000 0.5000  2 F 2.15
Mg 0.0000 0.5000 0.0000  2 F 2.15
Mg 0.5000 0.0000 0.0000  2 F 2.15
Mn 0.5000 0.5000 0.5000  12 Mg 3.04
F 0.0000 0.0000 0.0000  6 Mg 2.15

Output
The total magnetization comes out at 0.0 μB/f.u. As for the total energy: -2.849 eV per atom. The value obtained for the polymorph energy (0 for the lowest one) is 0.00 eV/f.u.